YPuSiAu | GGA-PBE | relaxed

Geometry as POSCAR:
```
YPuSiAu
1.0
0.000 3.587 3.587
3.587 0.000 3.587
3.587 3.587 0.000
Y Pu Si Au
1 1 1 1
direct
0.000 0.000 0.000
0.500 0.500 0.500
0.750 0.750 0.750
0.250 0.250 0.250
```

* mass density: 10.04 g/cm³
* formation energy from raw total energies: -0.494 eV per atom
* raw total energy: -7.868 eV per atom
* space group: F-43m (216)

***

Ba2SrLaO4 | GGA-PBE | relaxed

Geometry as POSCAR:
```
Ba2SrLaO4
1.0
6.521 0.000 0.000
0.000 3.782 0.000
-2.169 0.000 6.312
Ba Sr La O
2 1 1 4
direct
0.000 0.000 0.000
0.500 0.500 0.000
0.000 0.500 0.500
0.500 0.000 0.500
0.252 0.000 0.717
0.272 0.500 0.289
0.728 0.500 0.711
0.748 0.000 0.283
```

* mass density: 6.03 g/cm³
* formation energy from raw total energies: -2.641 eV per atom
* raw total energy: -6.427 eV per atom
* space group: P2/m (10)

***

ZrHgOs | GGA-PBE | relaxed

Geometry as POSCAR:
```
ZrHgOs
1.0
3.257 0.000 0.000
-1.628 2.820 0.000
0.000 0.000 6.636
Zr Hg Os
1 1 1
direct
0.000 0.000 0.000
0.667 0.333 0.373
0.333 0.667 0.723
```

* mass density: 13.13 g/cm³
* relative energy among the computed polymorphs: 0.274 eV per atom
* energy of formation: 0.25 eV/atom
* raw total energy: -6.445 eV per atom
* space group: P3m1 (156)

***

MgBi3F | GGA-PBE | relaxed

Geometry as POSCAR:
```
MgBi3F
1.0
5.442 0.000 0.000
0.000 5.442 0.000
0.000 0.000 5.442
Mg Bi F
1 3 1
direct
0.000 0.000 0.000
0.000 0.000 0.500
0.000 0.500 0.000
0.500 0.000 0.000
0.500 0.500 0.500
```

* mass density: 6.90 g/cm³
* relative energy among the computed polymorphs: 0.472 eV per atom
* formation energy from raw total energies: 0.187 eV per atom
* raw total energy: -2.835 eV per atom
* space group: Pm-3m (221)

***

CdFe2Ru2 | GGA-PBE | relaxed

Geometry as POSCAR:
```
CdFe2Ru2
1.0
7.208 0.000 0.000
0.000 7.208 0.000
0.000 0.000 2.713
Cd Fe Ru
2 4 4
direct
0.000 0.000 0.000
0.500 0.500 0.000
0.116 0.384 0.000
0.384 0.884 0.000
0.616 0.116 0.000
0.884 0.616 0.000
0.171 0.671 0.500
0.329 0.171 0.500
0.671 0.829 0.500
0.829 0.329 0.500
```

* mass density: 10.04 g/cm³
* relative energy among the computed polymorphs: 0.000 eV per atom
* energy of formation: 0.31 eV/atom
* raw total energy: -6.967 eV per atom
* space group: P4/mbm (127)

***

Eu5Sn3H | GGA-PBE | relaxed

Geometry as POSCAR:
```
Eu5Sn3H
1.0
-4.204 4.204 7.560
4.204 -4.204 7.560
4.204 4.204 -7.560
Eu Sn H
10 6 2
direct
0.000 0.000 0.000
0.012 0.512 0.828
0.184 0.012 0.500
0.316 0.816 0.828
0.488 0.316 0.500
0.500 0.500 0.000
0.512 0.684 0.500
0.684 0.184 0.172
0.816 0.988 0.500
0.988 0.488 0.172
0.125 0.375 0.500
0.250 0.250 0.000
0.375 0.875 0.250
0.625 0.125 0.750
0.750 0.750 0.000
0.875 0.625 0.500
0.250 0.750 0.500
0.750 0.250 0.500
```

* mass density: 6.94 g/cm³
* raw total energy: -8.078 eV per atom
* space group: I4/mcm (140)

***

La6GaIr | GGA-PBE | relaxed

Geometry as POSCAR:
```
La6GaIr
1.0
7.042 0.000 0.000
3.519 6.113 0.000
3.512 2.036 6.774
La Ga Ir
6 1 1
direct
0.055 0.421 0.245
0.222 0.945 0.755
0.421 0.779 0.245
0.579 0.221 0.755
0.778 0.055 0.245
0.945 0.579 0.755
0.500 0.500 0.000
0.000 0.000 0.500
```

* mass density: 6.24 g/cm³
* energy of formation: -0.23 eV/atom
* raw total energy: -5.412 eV per atom
* space group: P-1 (2)

***

Ba3Pb4Au2 | GGA-PBE | relaxed

Geometry as POSCAR:
```
Ba3Pb4Au2
1.0
6.440 -2.523 0.000
6.440 2.523 0.000
-2.684 0.000 9.636
Ba Pb Au
3 4 2
direct
0.000 0.000 0.000
0.324 0.324 0.353
0.676 0.676 0.647
0.032 0.032 0.364
0.248 0.248 0.905
0.752 0.752 0.095
0.968 0.968 0.636
0.397 0.397 0.728
0.603 0.603 0.272
```

* mass density: 8.67 g/cm³
* energy of formation: -0.52 eV/atom
* raw total energy: -3.541 eV per atom
* space group: C2/m (12)

***

Li2BrO | GGA-PBE | relaxed

Geometry as POSCAR:
```
Li2BrO
1.0
0.000 3.039 3.039
3.039 0.000 3.039
3.039 3.039 0.000
Li Br O
2 1 1
direct
0.250 0.250 0.250
0.750 0.750 0.750
0.000 0.000 0.000
0.500 0.500 0.500
```

* mass density: 3.25 g/cm³
* relative energy among the computed polymorphs: 0.330 eV per atom
* formation energy from raw total energies: -0.893 eV per atom
* raw total energy: -3.507 eV per atom
* space group: Fm-3m (225)

***

SrTa2Os4 | GGA-PBE | relaxed

Geometry as POSCAR:
```
SrTa2Os4
1.0
-2.406 2.406 6.684
2.406 -2.406 6.684
2.406 2.406 -6.684
Sr Ta Os
1 2 4
direct
0.000 0.000 0.000
0.390 0.390 0.000
0.610 0.610 0.000
0.000 0.500 0.500
0.216 0.216 0.000
0.500 0.000 0.500
0.784 0.784 0.000
```

* mass density: 12.98 g/cm³
* energy of formation: 2.31 eV/atom
* raw total energy: -7.736 eV per atom
* space group: I4/mmm (139)

***

Nd2Dy6Ho3In | GGA-PBE | relaxed

Geometry as POSCAR:
```
Nd2Dy6Ho3In
1.0
3.046 -5.277 0.000
3.046 5.277 0.000
-2.034 0.000 11.537
Nd Dy Ho In
2 6 3 1
direct
0.166 0.834 0.000
0.834 0.166 0.000
0.090 0.417 0.749
0.256 0.256 0.251
0.417 0.090 0.749
0.583 0.910 0.251
0.744 0.744 0.749
0.910 0.583 0.251
0.000 0.000 0.500
0.333 0.667 0.500
0.667 0.333 0.500
0.500 0.500 0.000
```

* mass density: 8.39 g/cm³
* energy of formation: -0.06 eV/atom
* raw total energy: -4.524 eV per atom
* space group: C2/m (12)

***

LaSm2DyY2 | GGA-PBE | relaxed

Geometry as POSCAR:
```
LaSm2DyY2
1.0
6.629 0.000 0.000
0.000 18.159 0.000
0.000 0.000 3.412
La Sm Dy Y
2 4 2 4
direct
0.000 0.000 0.000
0.500 0.500 0.500
0.222 0.186 0.000
0.278 0.686 0.500
0.722 0.314 0.500
0.778 0.814 0.000
0.000 0.500 0.000
0.500 0.000 0.500
0.218 0.352 0.500
0.282 0.852 0.000
0.718 0.148 0.000
0.782 0.648 0.500
```

* mass density: 6.31 g/cm³
* energy of formation: 0.28 eV/atom
* raw total energy: -5.040 eV per atom
* space group: Pnnm (58)

***

LiYSiI2 | GGA-PBE | relaxed

Geometry as POSCAR:
```
LiYSiI2
1.0
6.074 0.000 0.000
0.000 6.074 0.000
0.000 0.000 5.618
Li Y Si I
1 1 1 2
direct
0.000 0.000 0.000
0.500 0.500 0.500
0.500 0.500 0.000
0.000 0.500 0.500
0.500 0.000 0.500
```

* mass density: 3.03 g/cm³
* formation energy from raw total energies: -0.186 eV per atom
* raw total energy: -3.566 eV per atom
* space group: P4/mmm (123)

***

LaMgO2 | GGA-PBE | relaxed

Geometry as POSCAR:
```
LaMgO2
1.0
1.886 1.089 6.091
-1.886 1.089 6.091
0.000 -2.178 6.091
La Mg O
1 1 2
direct
0.000 0.000 0.000
0.500 0.500 0.500
0.394 0.394 0.394
0.606 0.606 0.606
```

* mass density: 4.32 g/cm³
* formation energy from raw total energies: -2.589 eV per atom
* raw total energy: -6.698 eV per atom
* space group: R-3m (166)

***

Sr3HoPa2N6 | GGA-PBE | relaxed

Geometry as POSCAR:
```
Sr3HoPa2N6
1.0
3.110 -5.384 0.000
3.110 5.384 0.000
-2.072 0.000 6.012
Sr Ho Pa N
3 1 2 6
direct
0.000 0.000 0.000
0.336 0.664 0.000
0.664 0.336 0.000
0.500 0.500 0.500
0.167 0.833 0.500
0.833 0.167 0.500
0.086 0.434 0.301
0.219 0.219 0.699
0.434 0.086 0.301
0.566 0.914 0.699
0.781 0.781 0.301
0.914 0.566 0.699
```

* mass density: 8.03 g/cm³
* formation energy from raw total energies: -1.391 eV per atom
* raw total energy: -7.939 eV per atom
* space group: C2/m (12)

***

OsRu2Au | GGA-PBE | relaxed

Geometry as POSCAR:
```
OsRu2Au
1.0
1.383 -2.343 0.000
1.383 2.343 0.000
0.000 0.000 9.584
Os Ru Au
1 2 1
direct
0.000 0.000 0.000
0.500 0.500 0.235
0.500 0.500 0.765
0.000 0.000 0.500
```

* mass density: 15.76 g/cm³
* relative energy among the computed polymorphs: 0.307 eV per atom
* energy of formation: 0.54 eV/atom
* raw total energy: -7.721 eV per atom
* space group: Cmmm (65)

***

LiCePd4 | GGA-PBE | relaxed

Geometry as POSCAR:
```
LiCePd4
1.0
5.973 0.000 0.000
0.000 4.757 0.000
0.000 0.000 14.086
Li Ce Pd
4 4 16
direct
0.249 0.250 0.249
0.251 0.750 0.749
0.749 0.250 0.251
0.751 0.750 0.751
0.250 0.250 0.569
0.250 0.750 0.069
0.750 0.250 0.931
0.750 0.750 0.431
0.001 0.250 0.750
0.005 0.250 0.391
0.006 0.750 0.891
0.249 0.750 0.425
0.251 0.250 0.925
0.494 0.250 0.391
0.495 0.750 0.891
0.499 0.750 0.250
0.501 0.250 0.750
0.505 0.250 0.109
0.506 0.750 0.609
0.749 0.750 0.075
0.751 0.250 0.575
0.994 0.250 0.109
0.995 0.750 0.609
0.999 0.750 0.250
```

* mass density: 9.51 g/cm³
* relative energy among the computed polymorphs: 0.000 eV per atom
* energy of formation: -0.63 eV/atom
* raw total energy: -5.400 eV per atom
* space group: Pnma (62)

***

Sr2MgBeC | GGA-PBE | relaxed

Geometry as POSCAR:
```
Sr2MgBeC
1.0
5.817 0.000 0.000
0.000 5.817 0.000
0.000 0.000 3.506
Sr Mg Be C
2 1 1 1
direct
0.000 0.500 0.000
0.500 0.000 0.000
0.000 0.000 0.500
0.500 0.500 0.500
0.500 0.500 0.000
```

* mass density: 3.09 g/cm³
* energy of formation: 0.26 eV/atom
* raw total energy: -3.322 eV per atom
* space group: P4/mmm (123)

***

TlSbTe3 | GGA-PBE | relaxed

Geometry as POSCAR:
```
TlSbTe3
1.0
5.693 0.000 0.000
0.000 5.693 0.000
0.000 0.000 5.693
Tl Sb Te
1 1 3
direct
0.000 0.000 0.000
0.500 0.500 0.500
0.000 0.000 0.500
0.000 0.500 0.000
0.500 0.000 0.000
```

* mass density: 6.38 g/cm³
* relative energy among the computed polymorphs: 0.536 eV per atom
* formation energy from raw total energies: 0.731 eV per atom
* raw total energy: -2.452 eV per atom
* space group: Pm-3m (221)